Record 1
## AlInHgBr4 (PBE)

Data for AlInHgBr4 after structural relaxation.

Cell: 12.621 10.456 9.894 Å, 90.00 105.74 90.00°
Space group C2/m (No. 12)
Symmetry-distinct sites (fractional):
Al: 0.156 0.000 0.265 x4
In: 0.244 0.500 0.093 x4
Hg: 0.015 0.500 0.818 x4
Br: 0.017 0.000 0.695 x4
Br: 0.171 0.177 0.123 x8
Br: 0.207 0.500 0.528 x4

Record 2
## AlHgIr2Br (PBE)

Data for AlHgIr2Br after structural relaxation.

Cell: 5.089 5.089 5.324 Å, 90.00 90.00 90.00°
Space group P4/mmm (No. 123)
Symmetry-distinct sites (fractional):
Al: 0.000 0.000 0.000 x1
Hg: 0.500 0.500 0.500 x1
Ir: 0.000 0.500 0.500 x2
Br: 0.500 0.500 0.000 x1

Record 3
## K2AlHgBr6 (PBE)

Data for K2AlHgBr6 after structural relaxation.

Cell: 11.020 11.020 11.020 Å, 90.00 90.00 90.00°
Space group Fm-3m (No. 225)
Symmetry-distinct sites (fractional):
K: 0.250 0.250 0.250 x8
Al: 0.000 0.000 0.000 x4
Hg: 0.000 0.000 0.500 x4
Br: 0.000 0.000 0.231 x24

Record 4
## Mn2AlHgBr (PBE)

Data for Mn2AlHgBr after structural relaxation.

Cell: 5.108 5.108 6.177 Å, 90.00 90.00 90.00°
Space group P4/mmm (No. 123)
Symmetry-distinct sites (fractional):
Mn: 0.000 0.500 0.000 x2
Al: 0.000 0.000 0.500 x1
Hg: 0.500 0.500 0.000 x1
Br: 0.500 0.500 0.500 x1

| no. | V (Å³/cell) | formation energy (no corrections) (meV per atom) |
| --- | --- | --- |
| 1 | 1256.8 | -830 |
| 2 | 137.9 | 1893 |
| 3 | 1338.3 | -1112 |
| 4 | 161.2 | 987 |